The following is a GGA-PBE calculation of a relaxed Ce2In3Pb3 crystal, from Alexandria.

* DFT formation energy: -3.042 eV/f.u.
* space group: Pmmm

abc: 4.7836 4.9063 9.4345
angles: 90.00 90.00 90.00
Sites, in units of the cell vectors:
Ce1 0.0000 0.0000 0.2499
Ce2 0.0000 0.0000 0.7501
In1 0.0000 0.5000 0.0000
In2 0.5000 0.5000 0.2429
In3 0.5000 0.5000 0.7571
Pb1 0.0000 0.5000 0.5000
Pb2 0.5000 0.0000 0.0000
Pb3 0.5000 0.0000 0.5000



The following is a GGA-PBE calculation of a relaxed ThAl2Pd2Au crystal, from Alexandria.

* DFT formation energy: -1.712 eV/f.u.
* space group: P4/mmm

abc: 4.6998 4.6998 5.7802
angles: 90.00 90.00 90.00
Sites, in units of the cell vectors:
Th1 0.0000 0.0000 0.0000
Al1 0.0000 0.5000 0.5000
Al2 0.5000 0.0000 0.5000
Pd1 0.5000 0.5000 0.2413
Pd2 0.5000 0.5000 0.7587
Au1 0.0000 0.0000 0.5000



The following is a GGA-PBE calculation of a relaxed CuNi3Ge crystal, from Alexandria.

* DFT formation energy: 1.422 eV/f.u.
* space group: P6_3/mmc

abc: 6.0182 6.0182 4.2273
angles: 90.00 90.00 120.00
Sites, in units of the cell vectors:
Cu1 0.0000 0.0000 0.0000
Cu2 0.0000 0.0000 0.5000
Ni1 0.2018 0.4036 0.2500
Ni2 0.2018 0.7982 0.2500
Ni3 0.4036 0.2018 0.7500
Ni4 0.5964 0.7982 0.2500
Ni5 0.7982 0.2018 0.7500
Ni6 0.7982 0.5964 0.7500
Ge1 0.3333 0.6667 0.7500
Ge2 0.6667 0.3333 0.2500



The following is a GGA-PBE calculation of a relaxed Hg2IN crystal, from Alexandria.

* formation energy without anion corrections: 37.9 kJ/mol of atoms
* space group: P6_3/mmc

abc: 6.8653 6.8653 11.4985
angles: 90.00 90.00 120.00
Sites, in units of the cell vectors:
Hg1 0.0000 0.5000 0.0000
Hg2 0.0000 0.5000 0.5000
Hg3 0.3333 0.6667 0.2500
Hg4 0.5000 0.0000 0.0000
Hg5 0.5000 0.0000 0.5000
Hg6 0.5000 0.5000 0.0000
Hg7 0.5000 0.5000 0.5000
Hg8 0.6667 0.3333 0.7500
I1 0.0000 0.0000 0.2500
I2 0.0000 0.0000 0.7500
I3 0.3333 0.6667 0.7500
I4 0.6667 0.3333 0.2500
N1 0.3333 0.6667 0.0665
N2 0.3333 0.6667 0.4335
N3 0.6667 0.3333 0.5665
N4 0.6667 0.3333 0.9335



The following is a GGA-PBE calculation of a relaxed Ca2SeBr crystal, from Alexandria.

* formation energy without anion corrections: -136.8 kJ/mol of atoms
* space group: Fm-3m

abc: 5.2017 5.2017 5.2017
angles: 60.00 60.00 60.00
Sites, in units of the cell vectors:
Ca1 0.2500 0.2500 0.2500
Ca2 0.7500 0.7500 0.7500
Se1 0.0000 0.0000 0.0000
Br1 0.5000 0.5000 0.5000



The following is a GGA-PBE calculation of a relaxed GeSb2Pb crystal, from Alexandria.

* formation energy without anion corrections: 18.7 kJ/mol of atoms
* space group: I-42d

abc: 7.0178 7.0178 7.0178
angles: 114.44 114.44 99.93
Sites, in units of the cell vectors:
Ge1 0.0000 0.0000 0.0000
Ge2 0.7500 0.2500 0.5000
Sb1 0.0733 0.6250 0.9483
Sb2 0.3750 0.3233 0.4483
Sb3 0.6767 0.1250 0.0517
Sb4 0.8750 0.9267 0.5517
Pb1 0.2500 0.7500 0.5000
Pb2 0.5000 0.5000 0.0000



The following is a GGA-PBE calculation of a relaxed Tb2CeNd6Sm crystal, from Alexandria.

* DFT formation energy: 2.352 eV/f.u.
* space group: C2/m

abc: 6.6813 6.6813 8.9467
angles: 101.38 101.38 63.38
Sites, in units of the cell vectors:
Tb1 0.0912 0.0912 0.1606
Tb2 0.9088 0.9088 0.8394
Ce1 0.5000 0.5000 0.0000
Nd1 0.0641 0.5921 0.2013
Nd2 0.3736 0.3736 0.5844
Nd3 0.4079 0.9359 0.7987
Nd4 0.5921 0.0641 0.2013
Nd5 0.6264 0.6264 0.4156
Nd6 0.9359 0.4079 0.7987
Sm1 0.0000 0.0000 0.5000



Calculated total energy (eV per atom)
-4.281; -5.047; -4.927; -2.227; -3.707; -3.949; -4.617
Total moment (μB/atom)
0.24; 0.00; 0.00; 0.00; 0.00; 0.00; 0.12